Entry from OQMD via LeMat-Bulk: a relaxed Dy3In3IrAu2 crystal (PBE-GGA).

The crystal system is hexagonal. As for the total energy: -44.05 eV/cell.

The space group is P-62m (No. 189) and the conventional cell measures 7.7193, 7.7193 and 3.9394 Å, with angles of 90.00, 90.00 and 120.00 degrees. The asymmetric unit holds Dy at (0.0000, 0.3972, 0.0000), In at (0.0000, 0.7446, 0.5000), Ir at (0.0000, 0.0000, 0.0000) and Au at (0.3333, 0.6667, 0.5000).